Hf4Al5Cu2: optimized geometry, GGA-PBE.

Computed properties:
formation enthalpy at 0 K	-0.32	eV/atom
crystal system	monoclinic
D(E_F)	0.68	states/eV per atom
calculated total energy	-6.38	eV per atom

Cell lengths 7.0159, 3.0220, 9.1407 Å; angles 90.00, 93.80, 90.00 degrees
With the nearest neighbours (Å) after each atom.
Fractional positions:
Hf 0.1623 0.0000 0.3842  2 Cu 2.79, 8 Al 2.93-3.01, 2 Hf 3.02
Hf 0.2711 0.0000 0.9479  4 Cu 2.79-2.82, 6 Al 2.94-3.00, 2 Hf 3.02
Hf 0.7289 0.0000 0.0521  4 Cu 2.79-2.82, 6 Al 2.94-3.00, 2 Hf 3.02
Hf 0.8377 0.0000 0.6158  2 Cu 2.79, 8 Al 2.93-3.01, 2 Hf 3.02
Al 0.1945 0.5000 0.6665  1 Cu 2.61, 2 Al 2.71-2.80
Al 0.4332 0.5000 0.2029  1 Cu 2.66, 2 Al 2.72-2.80, 4 Hf 2.94-2.98
Al 0.5000 0.5000 0.5000  6 Al 2.71-3.02, 4 Hf 2.95
Al 0.5668 0.5000 0.7971  1 Cu 2.66, 2 Al 2.72-2.80, 4 Hf 2.94-2.98
Al 0.8055 0.5000 0.3335  1 Cu 2.61, 2 Al 2.71-2.80
Cu 0.0581 0.5000 0.1356  1 Cu 2.56, 2 Al 2.61-2.66, 6 Hf 2.79-2.82
Cu 0.9419 0.5000 0.8644  1 Cu 2.56, 2 Al 2.61-2.66, 6 Hf 2.79-2.82